Record 1
Computed, not measured: Li2AgW after structural relaxation at the PBE level of DFT.

a b c (Å): 4.842 4.842 2.601
angles (deg): 90.00 90.00 90.00
Element x y z (fractional)
1 Li 0.000 0.500 0.000
2 Li 0.500 0.000 0.000
3 Ag 0.000 0.000 0.500
4 W 0.500 0.500 0.500

=====

Record 2
Computed, not measured: Li2AgW after structural relaxation at the PBE level of DFT.

a b c (Å): 2.635 4.904 5.027
angles (deg): 90.00 90.00 90.00
Element x y z (fractional)
1 Li 0.000 0.000 0.000
2 Li 0.500 0.000 0.500
3 Ag 0.000 0.500 0.500
4 W 0.500 0.500 0.000

=====

Record 3
Computed, not measured: LiAg2W after structural relaxation at the PBE level of DFT.

a b c (Å): 2.670 4.228 5.846
angles (deg): 90.00 90.00 90.00
Element x y z (fractional)
1 Li 0.000 0.000 0.000
2 Ag 0.500 0.500 0.252
3 Ag 0.500 0.500 0.748
4 W 0.000 0.000 0.500

=====

Record 4
Computed, not measured: LiAgW2 after structural relaxation at the PBE level of DFT.

a b c (Å): 5.159 5.159 5.159
angles (deg): 144.70 124.63 67.39
Element x y z (fractional)
1 Li 0.000 0.000 0.000
2 Ag 0.770 0.270 0.500
3 W 0.265 0.765 0.500
4 W 0.491 0.491 0.000

=====

Energy above the most stable polymorph in this dataset values (in meV per atom) by entry order: 397.2 268.4 142.6 394.0.
Size of the total moment values (in μB/f.u.) by entry order: 0.00 0.00 0.00 0.00.